DFT (PBE) results for a geometry-optimized Pr2ScBiO6 structure.

## Properties
The uncorrected formation energy is -26.51 eV per formula unit.

```
Pr2ScBiO6
1.0
5.528 0.000 0.000
0.000 5.528 0.000
0.000 0.000 5.524
Pr Sc Bi O
2 1 1 6
direct
0.000 0.500 0.000 Pr
0.500 0.000 0.000 Pr
0.000 0.000 0.597 Sc
0.500 0.500 0.568 Bi
0.000 0.000 0.238 O
0.240 0.240 0.755 O
0.240 0.760 0.755 O
0.500 0.500 0.153 O
0.760 0.240 0.755 O
0.760 0.760 0.755 O
```


DFT (PBE) results for a geometry-optimized Pm7Bi2C2 structure.

## Properties
The calculation puts the energy of formation at -0.200 eV per atom.

```
Pm7Bi2C2
1.0
5.622 -4.175 0.000
5.622 4.175 0.000
-0.728 0.000 6.704
Pm Bi C
7 2 2
direct
0.000 0.000 0.000 Pm
0.079 0.481 0.777 Pm
0.423 0.423 0.219 Pm
0.481 0.079 0.777 Pm
0.519 0.921 0.223 Pm
0.577 0.577 0.781 Pm
0.921 0.519 0.223 Pm
0.190 0.810 0.500 Bi
0.810 0.190 0.500 Bi
0.229 0.229 0.023 C
0.771 0.771 0.977 C
```


DFT (PBE) results for a geometry-optimized Tb5In2Pt structure.

## Properties
The calculation puts the energy of formation at -0.581 eV per atom.

```
Tb5In2Pt
1.0
7.288 0.000 0.000
0.000 12.569 0.000
0.000 0.000 4.844
Tb In Pt
10 4 2
direct
0.000 0.000 0.000 Tb
0.130 0.288 0.000 Tb
0.179 0.581 0.500 Tb
0.321 0.081 0.500 Tb
0.370 0.788 0.000 Tb
0.500 0.500 0.000 Tb
0.630 0.212 0.000 Tb
0.679 0.919 0.500 Tb
0.821 0.419 0.500 Tb
0.870 0.712 0.000 Tb
0.094 0.837 0.500 In
0.406 0.337 0.500 In
0.594 0.663 0.500 In
0.906 0.163 0.500 In
0.000 0.500 0.000 Pt
0.500 0.000 0.000 Pt
```


DFT (PBE) results for a geometry-optimized P2PbW structure.

## Properties
The calculation puts the energy of formation at 0.861 eV per atom.

```
P2PbW
1.0
2.957 -3.624 0.000
2.957 3.624 0.000
0.000 0.000 3.277
P Pb W
2 1 1
direct
0.000 0.500 0.000 P
0.500 0.000 0.000 P
0.000 0.000 0.500 Pb
0.500 0.500 0.500 W
```


DFT (PBE) results for a geometry-optimized NbInSbTe2 structure.

## Properties
The uncorrected formation energy is 5.62 eV per formula unit. The value obtained for the offset from the most stable computed form is 988 meV/atom.

```
NbInSbTe2
1.0
5.601 0.000 0.000
0.000 5.601 0.000
0.000 0.000 5.438
Nb In Sb Te
1 1 1 2
direct
0.000 0.000 0.000 Nb
0.500 0.500 0.500 In
0.500 0.500 0.000 Sb
0.000 0.500 0.500 Te
0.500 0.000 0.500 Te
```


DFT (PBE) results for a geometry-optimized Li6MgI8 structure.

## Properties
The uncorrected formation energy is -15.98 eV per formula unit.

```
Li6MgI8
1.0
5.618 3.244 4.965
-5.618 3.244 4.965
0.000 -6.487 4.965
Li Mg I
6 1 8
direct
0.156 0.641 0.454 Li
0.359 0.546 0.844 Li
0.454 0.156 0.641 Li
0.546 0.844 0.359 Li
0.641 0.454 0.156 Li
0.844 0.359 0.546 Li
0.000 0.000 0.000 Mg
0.162 0.355 0.661 I
0.173 0.173 0.173 I
0.339 0.838 0.645 I
0.355 0.661 0.162 I
0.645 0.339 0.838 I
0.661 0.162 0.355 I
0.827 0.827 0.827 I
0.838 0.645 0.339 I
```


DFT (PBE) results for a geometry-optimized BePd2Au structure.

## Properties
The calculation puts the energy of formation at -0.281 eV per atom. The value obtained for the offset from the most stable computed form is 112 meV/atom.

```
BePd2Au
1.0
1.443 0.833 7.979
-1.443 0.833 7.979
0.000 -1.666 7.979
Be Pd Au
1 2 1
direct
0.000 0.000 0.000 Be
0.400 0.400 0.400 Pd
0.600 0.600 0.600 Pd
0.833 0.833 0.833 Au
```


DFT (PBE) results for a geometry-optimized Th4AgAu structure.

## Properties
The calculation puts the energy of formation at -0.235 eV per atom.

```
Th4AgAu
1.0
7.572 0.000 0.000
0.000 7.572 0.000
0.000 0.000 5.887
Th Ag Au
8 2 2
direct
0.154 0.342 0.000 Th
0.154 0.658 0.500 Th
0.342 0.154 0.500 Th
0.342 0.846 0.000 Th
0.658 0.154 0.000 Th
0.658 0.846 0.500 Th
0.846 0.342 0.500 Th
0.846 0.658 0.000 Th
0.500 0.500 0.250 Ag
0.500 0.500 0.750 Ag
0.000 0.000 0.250 Au
0.000 0.000 0.750 Au
```